A crystal of Al4C3 relaxed with PBEsol. Source: Alexandria via LeMat-Bulk, functional meta-GGA SCAN.

Structure (extended XYZ):
```
7
Lattice="3.339 0.000 0.000 1.669 2.892 0.000 1.669 0.964 8.328" Properties=species:S:1:pos:R:3 pbc="T T T"
C 1.669 0.964 2.915
C 5.008 2.892 5.413
C 0.000 0.000 0.000
Al 1.669 0.964 5.081
Al 5.008 2.892 3.246
Al 1.669 0.964 0.995
Al 5.008 2.892 7.332
```

Output
As for the energy of formation from the pure elements: -1.59 eV per formula unit.



A crystal of Ge3TeBr relaxed with PBEsol. Source: Alexandria via LeMat-Bulk, functional meta-GGA SCAN.

Structure (extended XYZ):
```
5
Lattice="-3.743 -3.776 -1.265 2.198 -3.407 3.665 -3.321 2.001 3.852" Properties=species:S:1:pos:R:3 pbc="T T T"
Ge 1.099 -1.704 1.832
Ge -1.660 1.001 1.926
Ge -1.872 -1.888 -0.633
Te 0.000 0.000 0.000
Br -2.433 -2.591 3.126
```

Output
For the formation energy from raw total energies, the calculation gives 21.4 kcal/mol of atoms.



A crystal of Ba2SbPb relaxed with PBEsol. Source: Alexandria via LeMat-Bulk, functional meta-GGA SCAN.

Structure (extended XYZ):
```
4
Lattice="-1.567 4.519 -0.682 -5.028 -1.876 -0.877 -1.085 0.426 5.311" Properties=species:S:1:pos:R:3 pbc="T T T"
Ba -4.400 -1.641 -0.767
Ba -2.428 -0.491 2.326
Pb -2.669 1.556 -0.670
Sb -5.724 0.832 1.547
```

Output
The calculation puts the energy relative to the lowest polymorph listed for this composition at 35 meV/atom. For the formation energy from raw total energies, the calculation gives -19.3 kcal/mol of atoms.



A crystal of Hf3NiH relaxed with PBEsol. Source: Alexandria via LeMat-Bulk, functional meta-GGA SCAN.

Structure (extended XYZ):
```
5
Lattice="-2.155 -2.821 2.283 2.976 0.145 2.989 -2.076 3.136 1.915" Properties=species:S:1:pos:R:3 pbc="T T T"
Ni -0.628 0.230 3.594
Hf 1.488 0.072 1.495
Hf -1.038 1.568 0.958
Hf -1.078 -1.411 1.141
H 0.000 0.000 0.000
```

Output
The total energy comes out at -208.14 eV per cell.



A crystal of YReSeN2 relaxed with PBEsol. Source: Alexandria via LeMat-Bulk, functional meta-GGA SCAN.

Structure (extended XYZ):
```
5
Lattice="3.906 0.000 0.000 0.000 3.906 0.000 0.000 0.000 5.105" Properties=species:S:1:pos:R:3 pbc="T T T"
Y 1.953 1.953 2.553
Re 0.000 0.000 0.000
Se 0.000 0.000 2.553
N 0.000 1.953 0.000
N 1.953 0.000 0.000
```

Output
For the formation energy from raw total energies, the calculation gives -9.1 kcal/mol of atoms.



A crystal of BaAs2Ru relaxed with PBEsol. Source: Alexandria via LeMat-Bulk, functional meta-GGA SCAN.

Structure (extended XYZ):
```
4
Lattice="-0.816 -1.370 -3.709 3.099 -3.495 0.609 -4.130 -1.672 1.526" Properties=species:S:1:pos:R:3 pbc="T T T"
Ru -0.408 -0.685 -1.854
As -2.065 -0.836 0.763
As 1.549 -1.747 0.304
Ba -0.924 -3.268 -0.787
```

Output
As for the energy of formation from the pure elements: 1.67 eV per formula unit.